Model w:
The following is a DFT calculation (PBE) of a relaxed Be4Si crystal.

Unit cell a=4.1488 b=4.1488 c=4.1488 alpha=99.29 beta=99.29 gamma=132.63
Last column: nearest neighbours and their distance in Å.
Fractional positions:
Si 0.0000 0.0000 0.0000  12 Be 2.40
Be 0.1940 0.5972 0.7912  9 Be 2.33-2.44, 3 Si 2.40
Be 0.8060 0.4028 0.2088  9 Be 2.33-2.44, 3 Si 2.40
Be 0.4028 0.1940 0.5967  9 Be 2.33-2.44, 3 Si 2.40
Be 0.5972 0.8060 0.4033  9 Be 2.33-2.44, 3 Si 2.40

Calculated values
The size of the total moment is 0.000 μB per formula unit. Its crystal system is tetragonal.

=====

Model x:
The following is a DFT calculation (PBE) of a relaxed Be4Si crystal.

Unit cell a=4.1533 b=4.1533 c=4.1533 alpha=90.00 beta=90.00 gamma=90.00
Last column: nearest neighbours and their distance in Å.
Fractional positions:
Be 0.5000 0.0000 0.5000  2 Si 2.08
Be 0.0000 0.0000 0.0000  12 Be 2.94
Be 0.5000 0.5000 0.0000  2 Si 2.08
Be 0.0000 0.5000 0.5000  2 Si 2.08
Si 0.5000 0.5000 0.5000  6 Be 2.08

Calculated values
The size of the total moment is 0.000 μB per formula unit. Its crystal system is cubic.

=====

Computed relative energies in units of meV/atom: model w 0; model x 919

=====

Model w:
The following is a DFT calculation (PBE) of a relaxed Be4Si5 crystal.

Unit cell a=5.7106 b=5.7106 c=5.7106 alpha=95.56 beta=95.56 gamma=143.71
Last column: nearest neighbours and their distance in Å.
Fractional positions:
Be 0.0000 0.3552 0.3552  5 Be 2.22-2.37
Be 0.0000 0.6448 0.6448  5 Be 2.22-2.37
Be 0.6448 0.0000 0.6448  5 Be 2.22-2.37
Be 0.3552 0.0000 0.3552  5 Be 2.22-2.37
Si 0.3275 0.6725 0.0000  6 Si 2.45-2.65, 6 Be 2.52-2.62
Si 0.6725 0.6725 0.3451  6 Si 2.45-2.65, 6 Be 2.52-2.62
Si 0.6725 0.3275 0.0000  6 Si 2.45-2.65, 6 Be 2.52-2.62
Si 0.3275 0.3275 0.6549  6 Si 2.45-2.65, 6 Be 2.52-2.62
Si 0.0000 0.0000 0.0000  8 Si 2.58, 4 Be 2.73

Calculated values
The size of the total moment is 0.000 μB per formula unit. Its crystal system is tetragonal.

=====

Model x:
The following is a DFT calculation (PBE) of a relaxed Be4Si5 crystal.

Unit cell a=6.9298 b=6.9298 c=5.1814 alpha=90.00 beta=90.00 gamma=120.00
Last column: nearest neighbours and their distance in Å.
Fractional positions:
Be 0.0000 0.3460 0.2500  3 Si 2.30-2.34
Be 0.0000 0.6540 0.7500  3 Si 2.30-2.34
Be 0.3460 0.0000 0.2500  3 Si 2.30-2.34
Be 0.6540 0.6540 0.2500  3 Si 2.30-2.34
Be 0.6540 0.0000 0.7500  3 Si 2.30-2.34
Be 0.3460 0.3460 0.7500  3 Si 2.30-2.34
Be 0.0000 0.0000 0.0000  6 Si 2.55, 8 Be 2.59-2.73
Be 0.0000 0.0000 0.5000  6 Si 2.55, 8 Be 2.59-2.73
Si 0.0000 0.6838 0.2500  5 Be 2.30-2.55
Si 0.6838 0.0000 0.2500  5 Be 2.30-2.55
Si 0.6667 0.3333 0.0000  8 Si 2.59-2.70, 6 Be 2.61
Si 0.3333 0.6667 0.5000  8 Si 2.59-2.70, 6 Be 2.61
Si 0.3333 0.6667 0.0000  8 Si 2.59-2.70, 6 Be 2.61
Si 0.3162 0.0000 0.7500  5 Be 2.30-2.55
Si 0.6667 0.3333 0.5000  8 Si 2.59-2.70, 6 Be 2.61
Si 0.0000 0.3162 0.7500  5 Be 2.30-2.55
Si 0.3162 0.3162 0.2500  5 Be 2.30-2.55
Si 0.6838 0.6838 0.7500  5 Be 2.30-2.55

Calculated values
The size of the total moment is 0.000 μB per formula unit. Its crystal system is hexagonal.

=====

Computed relative energies in units of meV/atom: model w 0; model x 93